[1]
A plane-wave DFT calculation with PBE was carried out for a relaxed structure of MgZnO2.

The structure in POSCAR format:
```
MgZnO2
1.0
3.3053 0.0000 0.0000
-1.6527 2.8625 0.0000
0.0000 0.0000 5.2090
Mg Zn O
1 1 2
direct
0.0000 0.0000 0.0000
0.3333 0.6667 0.5071
0.0000 0.0000 0.3858
0.3333 0.6667 0.8931
```

Summary:
DFT total energy: -20.9 eV for the cell shown
symmetry: P3m1

=====

[2]
A plane-wave DFT calculation with PBE was carried out for a relaxed structure of GaHRh3.

The structure in POSCAR format:
```
GaHRh3
1.0
2.7661 -3.9032 0.0000
2.7661 3.9032 0.0000
0.0000 0.0000 5.5242
Ga H Rh
2 2 6
direct
0.2341 0.7659 0.7500
0.7659 0.2341 0.2500
0.4741 0.5259 0.2500
0.5259 0.4741 0.7500
0.2422 0.7578 0.2500
0.2494 0.2494 0.0000
0.2494 0.2494 0.5000
0.7506 0.7506 0.0000
0.7506 0.7506 0.5000
0.7578 0.2422 0.7500
```

Summary:
DFT total energy: -59.0 eV for the cell shown
symmetry: Cmcm

=====

[3]
A plane-wave DFT calculation with PBE was carried out for a relaxed structure of Li4Ag4Ge3.

The structure in POSCAR format:
```
Li4Ag4Ge3
1.0
2.9449 0.0000 0.0000
-0.0033 3.9925 0.0000
-1.4181 -1.9930 15.3321
Li Ag Ge
4 4 3
direct
0.0419 0.0449 0.0871
0.3187 0.3186 0.6361
0.6813 0.6814 0.3639
0.9581 0.9551 0.9129
0.2247 0.2249 0.4499
0.4126 0.4085 0.8186
0.5874 0.5915 0.1814
0.7753 0.7751 0.5501
0.1341 0.1361 0.2713
0.5000 0.5000 0.0000
0.8659 0.8639 0.7287
```

Summary:
calculated formation energy: -0.19 eV per atom
symmetry: P-1

=====

[4]
A plane-wave DFT calculation with PBE was carried out for a relaxed structure of YP2SeO.

The structure in POSCAR format:
```
YP2SeO
1.0
4.8463 0.0000 0.0000
0.0000 4.8463 0.0000
0.0000 0.0000 3.9084
Y P Se O
1 2 1 1
direct
0.0000 0.0000 0.0000
0.0000 0.5000 0.5000
0.5000 0.0000 0.5000
0.5000 0.5000 0.5000
0.5000 0.5000 0.0000
```

Summary:
DFT total energy: -27.0 eV for the cell shown
symmetry: P4/mmm

=====

[5]
A plane-wave DFT calculation with PBE was carried out for a relaxed structure of LaSm5Y6.

The structure in POSCAR format:
```
LaSm5Y6
1.0
3.1329 -5.4246 0.0000
3.1329 5.4246 0.0000
-2.0800 0.0000 11.7043
La Sm Y
1 5 6
direct
0.0000 0.0000 0.0000
0.1669 0.8331 0.5000
0.3334 0.6666 0.0000
0.5000 0.5000 0.5000
0.6666 0.3334 0.0000
0.8331 0.1669 0.5000
0.0834 0.4175 0.2513
0.2509 0.2509 0.7487
0.4175 0.0834 0.2513
0.5825 0.9166 0.7487
0.7491 0.7491 0.2513
0.9166 0.5825 0.7487
```

Summary:
calculated formation energy: 0.01 eV per atom
symmetry: C2/m

=====

[6]
A plane-wave DFT calculation with PBE was carried out for a relaxed structure of Sm2AlBr.

The structure in POSCAR format:
```
Sm2AlBr
1.0
1.8832 1.0873 8.8490
-1.8832 1.0873 8.8490
0.0000 -2.1746 8.8490
Sm Al Br
2 1 1
direct
0.0000 0.0000 0.0000
0.1734 0.1734 0.1734
0.5868 0.5868 0.5868
0.4190 0.4190 0.4190
```

Summary:
DFT total energy: -17.7 eV for the cell shown
symmetry: R3m

=====

[7]
A plane-wave DFT calculation with PBE was carried out for a relaxed structure of Ba2Na2Pd.

The structure in POSCAR format:
```
Ba2Na2Pd
1.0
8.3835 0.0000 0.0000
0.0000 8.3835 0.0000
0.0000 0.0000 6.6904
Ba Na Pd
4 4 2
direct
0.1782 0.3218 0.0000
0.3218 0.8218 0.0000
0.6782 0.1782 0.0000
0.8218 0.6782 0.0000
0.1485 0.6485 0.5000
0.3515 0.1485 0.5000
0.6485 0.8515 0.5000
0.8515 0.3515 0.5000
0.0000 0.0000 0.0000
0.5000 0.5000 0.0000
```

Summary:
calculated formation energy: 0.03 eV per atom
symmetry: P4/mbm

=====

[8]
A plane-wave DFT calculation with PBE was carried out for a relaxed structure of NaTbUSe4.

The structure in POSCAR format:
```
NaTbUSe4
1.0
-4.2407 4.2951 5.9889
4.2407 -4.2951 5.9889
4.2407 4.2951 -5.9889
Na Tb U Se
2 2 2 8
direct
0.3799 0.1299 0.2500
0.6201 0.8701 0.7500
0.0000 0.0000 0.5000
0.0000 0.5000 0.0000
0.0000 0.5000 0.5000
0.5000 0.5000 0.0000
0.2132 0.7358 0.4774
0.2416 0.2642 0.9774
0.2415 0.2686 0.5271
0.2415 0.7144 0.9729
0.7585 0.2856 0.0271
0.7585 0.7314 0.4729
0.7584 0.7358 0.0226
0.7868 0.2642 0.5226
```

Summary:
DFT total energy: -82.4 eV for the cell shown
symmetry: Imma